Computed, not measured: a relaxed structure of Cr5Br at the PBE level of DFT.

Lattice parameters (Å, degrees): 9.203 2.931 5.925 90.00 109.24 90.00
Space group C2/m (No. 12)
Unique sites:
Cr1 0.000 0.000 0.000 (multiplicity 2)
Cr2 0.167 0.500 0.320 (multiplicity 4)
Cr3 0.174 0.500 0.848 (multiplicity 4)
Br1 0.000 0.000 0.500 (multiplicity 2)

Calculated values
Polymorph energy (0 for the lowest one): 0 meV per atom
Uncorrected formation energy: 540.6 meV per atom

Computed, not measured: a relaxed structure of Ba4Cd3In at the PBE level of DFT.

Lattice parameters (Å, degrees): 6.041 6.041 17.009 90.00 90.00 90.00
Space group I4/mmm (No. 139)
Unique sites:
Ba1 0.000 0.500 0.125 (multiplicity 8)
Cd1 0.000 0.000 0.000 (multiplicity 2)
Cd2 0.000 0.000 0.251 (multiplicity 4)
In1 0.000 0.000 0.500 (multiplicity 2)

Calculated values
Polymorph energy (0 for the lowest one): 0 meV per atom
Energy of formation from the pure elements: -0.348 eV/atom

Computed, not measured: a relaxed structure of Pr5Y6 at the PBE level of DFT.

Lattice parameters (Å, degrees): 9.252 13.274 6.511 90.00 107.53 90.00
Space group C2/m (No. 12)
Unique sites:
Pr1 0.000 0.000 0.000 (multiplicity 2)
Pr2 0.000 0.130 0.500 (multiplicity 4)
Pr3 0.000 0.261 0.000 (multiplicity 4)
Y1 0.163 0.500 0.191 (multiplicity 4)
Y2 0.176 0.371 0.673 (multiplicity 8)

Calculated values
Polymorph energy (0 for the lowest one): 20 meV per atom
Energy of formation from the pure elements: 0.133 eV/atom

Computed, not measured: a relaxed structure of CaSn3Rh at the PBE level of DFT.

Lattice parameters (Å, degrees): 5.561 5.561 5.561 90.00 90.00 90.00
Space group Pm-3m (No. 221)
Unique sites:
Ca1 0.000 0.000 0.000 (multiplicity 1)
Sn1 0.000 0.000 0.500 (multiplicity 3)
Rh1 0.500 0.500 0.500 (multiplicity 1)

Calculated values
Energy of formation from the pure elements: 1.265 eV/atom

Computed, not measured: a relaxed structure of SiPdI3 at the PBE level of DFT.

Lattice parameters (Å, degrees): 5.548 5.548 5.548 90.00 90.00 90.00
Space group Pm-3m (No. 221)
Unique sites:
Si1 0.000 0.000 0.000 (multiplicity 1)
Pd1 0.500 0.500 0.500 (multiplicity 1)
I1 0.000 0.000 0.500 (multiplicity 3)

Calculated values
Polymorph energy (0 for the lowest one): 58 meV per atom
Uncorrected formation energy: 514.7 meV per atom

Computed, not measured: a relaxed structure of Cu2TcIr at the PBE level of DFT.

Lattice parameters (Å, degrees): 2.761 4.458 8.912 90.00 90.00 90.00
Space group Cmmm (No. 65)
Unique sites:
Cu1 0.000 0.000 0.250 (multiplicity 4)
Tc1 0.000 0.500 0.000 (multiplicity 2)
Ir1 0.000 0.500 0.500 (multiplicity 2)

Calculated values
Polymorph energy (0 for the lowest one): 239 meV per atom
Energy of formation from the pure elements: 0.274 eV/atom

Computed, not measured: a relaxed structure of BaN at the PBE level of DFT.

Lattice parameters (Å, degrees): 10.111 10.111 4.886 90.00 90.00 90.00
Space group I4/mcm (No. 140)
Unique sites:
Ba1 0.148 0.352 0.000 (multiplicity 8)
N1 0.143 0.357 0.500 (multiplicity 8)

Calculated values
Uncorrected formation energy: 151.6 meV per atom

Computed, not measured: a relaxed structure of BaErPt4 at the PBE level of DFT.

Lattice parameters (Å, degrees): 7.864 7.864 7.864 90.00 90.00 90.00
Space group F-43m (No. 216)
Unique sites:
Ba1 0.000 0.000 0.000 (multiplicity 4)
Er1 0.250 0.250 0.750 (multiplicity 4)
Pt1 0.124 0.124 0.376 (multiplicity 16)

Calculated values
Energy of formation from the pure elements: -0.827 eV/atom

Computed, not measured: a relaxed structure of Ca3Pb5Cl16 at the PBE level of DFT.

Lattice parameters (Å, degrees): 14.822 8.455 13.101 90.00 90.74 90.00
Space group Cm (No. 8)
Unique sites:
Ca1 0.000 0.000 0.000 (multiplicity 2)
Ca2 0.417 0.249 0.496 (multiplicity 4)
Pb1 0.163 0.000 0.273 (multiplicity 2)
Pb2 0.166 0.500 0.498 (multiplicity 2)
Pb3 0.249 0.250 0.998 (multiplicity 4)
Pb4 0.496 0.000 0.766 (multiplicity 2)
Cl1 0.067 0.271 0.624 (multiplicity 4)
Cl2 0.087 0.220 0.124 (multiplicity 4)
Cl3 0.155 0.000 0.884 (multiplicity 2)
Cl4 0.169 0.500 0.874 (multiplicity 2)
Cl5 0.257 0.254 0.384 (multiplicity 4)
Cl6 0.315 0.000 0.134 (multiplicity 2)
Cl7 0.341 0.500 0.603 (multiplicity 2)
Cl8 0.342 0.500 0.111 (multiplicity 2)
Cl9 0.351 0.000 0.615 (multiplicity 2)
Cl10 0.418 0.261 0.888 (multiplicity 4)
Cl11 0.492 0.000 0.388 (multiplicity 2)
Cl12 0.493 0.500 0.391 (multiplicity 2)

Calculated values
Uncorrected formation energy: -1612.6 meV per atom

Computed, not measured: a relaxed structure of AcScRh at the PBE level of DFT.

Lattice parameters (Å, degrees): 3.512 3.512 12.483 90.00 90.00 90.00
Space group I4mm (No. 107)
Unique sites:
Ac1 0.000 0.000 0.000 (multiplicity 2)
Sc1 0.000 0.000 0.266 (multiplicity 2)
Rh1 0.000 0.000 0.670 (multiplicity 2)

Calculated values
Polymorph energy (0 for the lowest one): 204 meV per atom
Energy of formation from the pure elements: -0.411 eV/atom

Computed, not measured: a relaxed structure of PaMnCrSe6 at the PBE level of DFT.

Lattice parameters (Å, degrees): 6.4022 6.4022 6.1075 90.00 90.00 120.00
Space group P312 (No. 149)
Unique sites:
Pa1 0.0000 0.0000 0.0000 (multiplicity 1)
Mn1 0.6667 0.3333 0.5000 (multiplicity 1)
Cr1 0.3333 0.6667 0.5000 (multiplicity 1)
Se1 0.3512 0.0008 0.7280 (multiplicity 6)

Calculated values
Uncorrected formation energy: -649.6 meV per atom

Computed, not measured: a relaxed structure of NaSr8Ca4 at the PBE level of DFT.

Lattice parameters (Å, degrees): 12.750 5.916 17.056 90.00 92.12 90.00
Space group C2/m (No. 12)
Unique sites:
Na1 0.000 0.000 0.000 (multiplicity 2)
Sr1 0.043 0.500 0.387 (multiplicity 4)
Sr2 0.073 0.000 0.773 (multiplicity 4)
Sr3 0.191 0.500 0.926 (multiplicity 4)
Sr4 0.236 0.000 0.310 (multiplicity 4)
Ca1 0.118 0.500 0.156 (multiplicity 4)
Ca2 0.153 0.000 0.537 (multiplicity 4)

Calculated values
Energy of formation from the pure elements: 0.028 eV/atom